# 1
Cs2CdPtBr6: optimized geometry, PBE.

Lattice parameters (Å, degrees): 7.7591 7.7591 7.7870 60.12 60.12 90.00
Closest atoms and distances in Å follow each position.
Element x y z (fractional)
1 Br 0.2324 0.2324 0.5352  1 Pt 2.57
2 Br 0.2420 0.7580 0.0000  1 Pt 2.66, 1 Cd 2.83
3 Br 0.7580 0.7580 0.0000  1 Pt 2.66, 1 Cd 2.83
4 Br 0.7676 0.7676 0.4648  1 Pt 2.57
5 Br 0.2420 0.2420 0.0000  1 Pt 2.66, 1 Cd 2.83
6 Br 0.7580 0.2420 0.0000  1 Pt 2.66, 1 Cd 2.83
7 Cs 0.7500 0.2500 0.5000  12 Br 3.88-3.89
8 Cs 0.2500 0.7500 0.5000  12 Br 3.88-3.89
9 Cd 0.5000 0.5000 0.0000  6 Br 2.83-2.96
10 Pt 0.0000 0.0000 0.0000  6 Br 2.57-2.66

Summary:
Formation energy from raw total energies (eV per formula unit): -9.8
VASP energy (eV per atom): -2.846
V (Å³/atom): 33.3
Excess energy over the best structure of this formula in the dataset (meV/atom): 0

# 2
Cs2CdPtBr6: optimized geometry, PBE.

Lattice parameters (Å, degrees): 7.7707 7.7707 13.9143 73.79 73.79 60.00
Closest atoms and distances in Å follow each position.
Element x y z (fractional)
1 Cd 0.5867 0.5867 0.2400  6 Br 2.83-2.84
2 Cd 0.4133 0.4133 0.7600  6 Br 2.83-2.84
3 Cs 0.1225 0.1225 0.6325  12 Br 3.89-4.08
4 Cs 0.7053 0.7053 0.8842  12 Br 3.83-4.17
5 Cs 0.8775 0.8775 0.3675  12 Br 3.89-4.08
6 Cs 0.2947 0.2947 0.1158  12 Br 3.83-4.17
7 Br 0.8005 0.8005 0.1158  1 Pt 2.65, 1 Cd 2.84
8 Br 0.7167 0.1995 0.8842  1 Pt 2.65, 1 Cd 2.84
9 Br 0.3803 0.3803 0.3787  1 Pt 2.68, 1 Cd 2.83
10 Br 0.1995 0.1995 0.8842  1 Pt 2.65, 1 Cd 2.84
11 Br 0.6197 0.1392 0.6213  1 Pt 2.68, 1 Cd 2.83
12 Br 0.1392 0.6197 0.6213  1 Pt 2.68, 1 Cd 2.83
13 Br 0.8608 0.3803 0.3787  1 Pt 2.68, 1 Cd 2.83
14 Br 0.3803 0.8608 0.3787  1 Pt 2.68, 1 Cd 2.83
15 Br 0.8005 0.2833 0.1158  1 Pt 2.65, 1 Cd 2.84
16 Br 0.1995 0.7167 0.8842  1 Pt 2.65, 1 Cd 2.84
17 Br 0.2833 0.8005 0.1158  1 Pt 2.65, 1 Cd 2.84
18 Br 0.6197 0.6197 0.6213  1 Pt 2.68, 1 Cd 2.83
19 Pt 0.5000 0.5000 0.5000  6 Br 2.68
20 Pt 0.0000 0.0000 0.0000  6 Br 2.65

Summary:
Formation energy from raw total energies (eV per formula unit): -9.7
VASP energy (eV per atom): -2.837
V (Å³/atom): 34.4
Excess energy over the best structure of this formula in the dataset (meV/atom): 9

# 3
Cs2PuCdBr6: optimized geometry, PBE.

Lattice parameters (Å, degrees): 8.2408 8.2400 11.6485 90.00 90.00 90.00
Closest atoms and distances in Å follow each position.
Element x y z (fractional)
1 Cd 0.0000 0.7508 0.0000  6 Br 2.91
2 Cd 0.5000 0.2492 0.5000  6 Br 2.91
3 Br 0.2509 0.9984 0.5000  1 Cd 2.91, 1 Pu 2.91
4 Br 0.7507 0.4981 0.5000  1 Cd 2.91, 1 Pu 2.92
5 Br 0.7509 0.0016 0.0000  1 Cd 2.91, 1 Pu 2.91
6 Br 0.2493 0.4981 0.5000  1 Cd 2.91, 1 Pu 2.92
7 Br 0.5000 0.2497 0.7498  1 Cd 2.91, 1 Pu 2.91
8 Br 0.0000 0.7503 0.2498  1 Cd 2.91, 1 Pu 2.91
9 Br 0.7493 0.5019 0.0000  1 Cd 2.91, 1 Pu 2.92
10 Br 0.2491 0.0016 0.0000  1 Cd 2.91, 1 Pu 2.91
11 Br 0.5000 0.2497 0.2502  1 Cd 2.91, 1 Pu 2.91
12 Br 0.7491 0.9984 0.5000  1 Cd 2.91, 1 Pu 2.91
13 Br 0.2507 0.5019 0.0000  1 Cd 2.91, 1 Pu 2.92
14 Br 0.0000 0.7503 0.7502  1 Cd 2.91, 1 Pu 2.91
15 Pu 0.0000 0.7491 0.5000  6 Br 2.91-2.92
16 Pu 0.5000 0.2509 0.0000  6 Br 2.91-2.92
17 Cs 0.0000 0.2501 0.2500  12 Br 4.11-4.13
18 Cs 0.5000 0.7499 0.7500  12 Br 4.11-4.13
19 Cs 0.5000 0.7499 0.2500  12 Br 4.11-4.13
20 Cs 0.0000 0.2501 0.7500  12 Br 4.11-4.13

Summary:
Formation energy from raw total energies (eV per formula unit): -14.3
VASP energy (eV per atom): -4.131
V (Å³/atom): 39.5

# 4
Cs2RbCd2Br7: optimized geometry, PBE.

Lattice parameters (Å, degrees): 5.6257 5.6257 14.9384 79.07 79.07 90.01
Closest atoms and distances in Å follow each position.
Element x y z (fractional)
1 Br 0.0927 0.5924 0.8165  2 Cd 2.82
2 Br 0.3048 0.3048 0.3865  1 Cd 2.73
3 Br 0.4076 0.9073 0.1835  2 Cd 2.82
4 Br 0.9073 0.4076 0.1835  2 Cd 2.82
5 Br 0.5924 0.0927 0.8165  2 Cd 2.82
6 Br 0.6952 0.6952 0.6135  1 Cd 2.73
7 Br 0.5000 0.5000 0.0000  2 Cd 2.83
8 Cs 0.1804 0.1804 0.6425  9 Br 3.68-4.00
9 Cs 0.8196 0.8196 0.3575  9 Br 3.68-4.00
10 Cd 0.5995 0.5995 0.8032  6 Br 2.73-2.83
11 Cd 0.4005 0.4005 0.1968  6 Br 2.73-2.83
12 Rb 0.0000 0.0000 0.0000  12 Br 3.86-3.98

Summary:
Formation energy from raw total energies (eV per formula unit): -15.9
VASP energy (eV per atom): -2.673
V (Å³/atom): 38.0

> Look up the V of the second one.

34.4 Å³/atom